Record 1
An optimized crystal structure of K2Ti2Bi2O, computed with GGA-PBE.

Lattice parameters (Å, degrees): 4.1210 4.1210 12.7956 99.27 99.27 90.00
With the nearest neighbours (Å) after each atom.
Fractional positions:
1 Bi 0.4141 0.4141 0.8282  4 Ti 2.97
2 Bi 0.5859 0.5859 0.1718  4 Ti 2.97
3 Ti 0.5000 0.0000 0.0000  2 O 2.06
4 Ti 0.0000 0.5000 0.0000  2 O 2.06
5 O 0.0000 0.0000 0.0000  4 Ti 2.06
6 K 0.8347 0.8347 0.6694  4 Bi 3.52
7 K 0.1653 0.1653 0.3306  4 Bi 3.52

Summary:
ρ ... 4.77 Mg/m³
Total moment ... 0.0686 μB per atom
Formation energy (no corrections) ... -6.55 eV per formula unit
Space-group type ... No. 139

=====

Record 2
An optimized crystal structure of K3TiBi3O8, computed with GGA-PBE.

Lattice parameters (Å, degrees): 6.9350 6.9416 7.5138 117.55 90.00 119.98
With the nearest neighbours (Å) after each atom.
Fractional positions:
1 Ti 0.0000 0.0000 0.5000  6 O 2.04-2.05
2 O 0.2650 0.5298 0.2942  3 Bi 2.39
3 O 0.2015 0.9740 0.6748  1 Ti 2.05
4 O 0.2011 0.4020 0.6747  1 Ti 2.04
5 O 0.7985 0.0260 0.3252  1 Ti 2.05
6 O 0.7350 0.4702 0.7058  3 Bi 2.39
7 O 0.7989 0.5980 0.3253  1 Ti 2.04
8 O 0.2276 0.0261 0.3251  1 Ti 2.05
9 O 0.7724 0.9739 0.6749  1 Ti 2.05
10 K 0.5000 0.5000 0.0000  6 O 2.74-2.79
11 K 0.0000 0.5000 0.0000  6 O 2.74-2.79
12 K 0.0000 0.0000 0.0000  6 O 2.74-2.79
13 Bi 0.5000 0.5000 0.5000  6 O 2.39-2.43
14 Bi 0.0000 0.5000 0.5000  6 O 2.39-2.43
15 Bi 0.5000 0.0000 0.5000  6 O 2.39-2.43

Summary:
ρ ... 5.77 Mg/m³
Total moment ... 0.0000 μB per atom
Formation energy (no corrections) ... -24.88 eV per formula unit
Space-group type ... No. 12

=====

What are the VASP energy values for these records? In order: -5.32; -5.82 eV/atom.